*w*
VASP calculation (PBE) on an optimized crystal structure of KTlW.

```
KTlW
1.0
5.448 0.000 0.000
-2.724 4.718 0.000
0.000 0.000 2.890
K W Tl
1 1 1
Cartesian
0.000 0.000 0.001
0.000 3.145 1.439
2.724 1.573 1.450
```

ρ: 9.554 g/cm³
D(E_F): 0.965 states/eV/atom
symmetry: P3m1



*x*
VASP calculation (PBE) on an optimized crystal structure of KTlW.

```
KTlW
1.0
6.891 -0.004 0.002
4.579 5.149 -0.002
-5.215 -3.732 2.522
K Tl W
1 1 1
Cartesian
0.005 0.002 0.000
3.104 1.393 0.000
8.361 3.750 0.000
```

ρ: 7.929 g/cm³
D(E_F): 0.682 states/eV/atom
symmetry: Imm2



Which is most stable? The ranking, best first, is *x*, *w*.



*w*
VASP calculation (PBE) on an optimized crystal structure of KTlW.

```
KTlW
1.0
-2.469 -0.360 1.789
1.030 -2.350 -1.687
5.091 -2.458 6.532
W Tl K
1 1 1
Cartesian
3.159 -3.277 3.699
0.505 -1.896 2.949
5.080 -2.452 6.517
```

ρ: 10.062 g/cm³
D(E_F): 0.914 states/eV/atom
symmetry: P3m1



*x*
VASP calculation (PBE) on an optimized crystal structure of KTlW.

```
KTlW
1.0
-3.615 2.361 -5.360
-5.426 -2.431 -3.466
2.842 1.345 6.123
W K Tl
1 1 1
Cartesian
-6.592 -0.051 -6.434
-0.008 0.000 -0.007
-2.442 -0.019 -2.384
```

ρ: 7.530 g/cm³
D(E_F): 0.404 states/eV/atom
symmetry: I4mm



Which is most stable? The ranking, best first, is *w*, *x*.



*w*
VASP calculation (PBE) on an optimized crystal structure of KTlW.

```
KTlW
1.0
-4.941 6.891 1.327
-4.286 5.386 5.126
6.305 -4.960 -3.051
Tl W K
1 1 1
Cartesian
-2.965 3.945 2.074
-6.261 8.331 4.379
-0.001 0.001 0.000
```

ρ: 9.947 g/cm³
D(E_F): 0.485 states/eV/atom
symmetry: I4mm



*x*
VASP calculation (PBE) on an optimized crystal structure of KTlW.

```
KTlW
1.0
8.678 0.029 -0.024
8.090 2.902 0.059
0.589 -0.464 2.836
W K Tl
1 1 1
Cartesian
11.558 1.838 0.937
0.596 -0.463 2.835
5.791 0.628 1.935
```

ρ: 9.976 g/cm³
D(E_F): 0.308 states/eV/atom
symmetry: Fmm2



Which is most stable? The ranking, best first, is *x*, *w*.



*w*
VASP calculation (PBE) on an optimized crystal structure of KTl3W.

```
KTl3W
1.0
-4.712 -2.639 0.686
-0.636 -0.268 -5.400
2.652 -4.754 -0.077
Tl W K
3 1 1
Cartesian
-0.318 -0.134 -2.700
-2.356 -1.320 0.343
1.326 -2.377 -0.038
0.000 0.000 0.000
-1.348 -3.831 -2.395
```

ρ: 8.604 g/cm³
D(E_F): 0.489 states/eV/atom
symmetry: Pm-3m



*x*
VASP calculation (PBE) on an optimized crystal structure of KTl3W.

```
KTl3W
1.0
5.916 0.000 0.000
0.000 5.916 0.000
0.000 0.000 5.916
Tl K W
3 1 1
Cartesian
0.000 0.000 2.958
2.958 0.000 0.000
0.000 2.958 0.000
0.000 0.000 0.000
2.958 2.958 2.958
```

ρ: 6.704 g/cm³
D(E_F): 0.818 states/eV/atom
symmetry: Pm-3m



Which is most stable? The ranking, best first, is *w*, *x*.



*w*
VASP calculation (PBE) on an optimized crystal structure of KTl2W2.

```
KTl2W2
1.0
-3.208 -4.140 -1.589
1.673 -2.946 4.298
-4.046 -1.919 3.744
Tl W K
2 2 1
Cartesian
-4.011 -4.801 1.755
-1.571 -4.204 4.698
-1.614 -3.123 1.972
-3.967 -5.881 4.481
0.000 0.000 0.000
```

ρ: 10.347 g/cm³
D(E_F): 0.948 states/eV/atom
symmetry: I4/mmm



*x*
VASP calculation (PBE) on an optimized crystal structure of KTl2W2.

```
KTl2W2
1.0
8.941 0.000 0.000
0.000 8.941 0.000
0.000 0.000 2.883
W Tl K
4 4 2
Cartesian
8.058 5.353 0.000
0.883 3.588 0.000
5.353 0.883 0.000
3.588 8.058 0.000
2.777 1.693 1.441
7.248 2.777 1.441
1.693 6.164 1.441
6.164 7.248 1.441
4.470 4.470 0.000
0.000 0.000 0.000
```

ρ: 11.753 g/cm³
D(E_F): 0.766 states/eV/atom
symmetry: P4/mbm



Which is most stable? The ranking, best first, is *x*, *w*.



*w*
VASP calculation (PBE) on an optimized crystal structure of K2YTl.

```
K2YTl
1.0
-2.949 -6.602 -10.684
-3.514 -9.479 -8.015
-6.426 -6.905 -8.802
Tl Y K
1 1 2
Cartesian
-6.349 -11.323 -13.547
-9.884 -17.626 -21.089
-3.001 -5.351 -6.402
-0.100 -0.177 -0.212
```

ρ: 3.567 g/cm³
D(E_F): 0.934 states/eV/atom
symmetry: R3m



*x*
VASP calculation (PBE) on an optimized crystal structure of K2YTl.

```
K2YTl
1.0
-1.043 -5.885 -1.073
-2.811 -3.396 4.176
-5.666 -1.949 -0.985
K Tl Y
2 1 1
Cartesian
-2.380 -2.808 0.529
-7.140 -8.423 1.588
-4.760 -5.615 1.059
0.000 0.000 0.000
```

ρ: 3.896 g/cm³
D(E_F): 0.808 states/eV/atom
symmetry: Fm-3m



*y*
VASP calculation (PBE) on an optimized crystal structure of K2YTl.

```
K2YTl
1.0
-4.915 -9.099 -2.548
-1.308 -10.386 -1.971
-1.354 -1.835 4.367
K Y Tl
2 1 1
Cartesian
-4.236 -12.274 -0.877
-5.776 -17.871 -3.718
-5.683 -15.990 -0.114
-1.894 -5.330 -0.038
```

ρ: 3.177 g/cm³
D(E_F): 0.687 states/eV/atom
symmetry: C2/m



Which is most stable? The ranking, best first, is *y*, *w*, *x*.



*w*
VASP calculation (PBE) on an optimized crystal structure of KY2Tl.

```
KY2Tl
1.0
-11.276 2.293 -3.781
-11.893 2.292 -0.064
-10.684 5.425 -1.772
Tl K Y
1 1 2
Cartesian
-25.390 7.507 -4.213
-8.463 2.502 -1.404
-0.598 0.177 -0.099
-16.328 4.828 -2.709
```

ρ: 4.775 g/cm³
D(E_F): 0.996 states/eV/atom
symmetry: R-3m



*x*
VASP calculation (PBE) on an optimized crystal structure of KY2Tl.

```
KY2Tl
1.0
-4.699 -0.689 -0.848
0.863 -4.636 -1.019
-3.579 -5.502 10.582
Y Tl K
4 2 2
Cartesian
-4.144 -6.010 7.262
-6.020 -8.899 6.278
-0.827 -4.342 1.924
-3.839 -2.402 1.967
0.000 0.000 0.000
-5.098 -4.427 4.400
-1.918 -2.662 -0.933
-2.317 -6.400 4.315
```

ρ: 5.020 g/cm³
D(E_F): 1.089 states/eV/atom
symmetry: I-42d



*y*
VASP calculation (PBE) on an optimized crystal structure of KY2Tl.

```
KY2Tl
1.0
-1.659 0.205 3.318
-1.229 -3.483 -0.400
8.675 -3.585 4.557
Tl Y K
1 2 1
Cartesian
5.398 -4.467 5.054
0.273 -2.349 2.361
8.477 -3.503 4.453
4.652 -1.922 2.444
```

ρ: 4.857 g/cm³
D(E_F): 1.178 states/eV/atom
symmetry: P4mm



Which is most stable? The ranking, best first, is *y*, *w*, *x*.



*w*
VASP calculation (PBE) on an optimized crystal structure of K2TlZn.

```
K2TlZn
1.0
4.011 0.036 0.000
-0.129 4.009 0.000
0.000 0.000 9.974
K Zn Tl
2 1 1
Cartesian
0.000 0.000 9.234
1.941 2.022 3.184
1.941 2.022 6.811
0.000 0.000 5.706
```

ρ: 3.603 g/cm³
D(E_F): 0.692 states/eV/atom
symmetry: Cmm2



*x*
VASP calculation (PBE) on an optimized crystal structure of K2TlZn.

```
K2TlZn
1.0
-4.630 -4.506 -1.377
-0.288 -6.398 -1.617
-1.476 -3.944 4.403
K Zn Tl
2 1 1
Cartesian
-4.818 -10.703 -2.780
-4.888 -11.324 0.857
-1.386 -3.282 0.806
-3.416 -7.867 0.236
```

ρ: 3.731 g/cm³
D(E_F): 0.864 states/eV/atom
symmetry: Imm2



*y*
VASP calculation (PBE) on an optimized crystal structure of K2TlZn.

```
K2TlZn
1.0
-0.696 3.459 -3.028
-3.707 0.948 1.935
-0.169 5.703 6.554
K Tl Zn
2 1 1
Cartesian
-1.917 3.347 4.264
-0.190 5.682 6.534
-1.317 3.392 0.608
-3.255 6.718 4.853
```

ρ: 3.857 g/cm³
D(E_F): 0.635 states/eV/atom
symmetry: P2/m



Which is most stable? The ranking, best first, is *x*, *w*, *y*.



*w*
VASP calculation (PBE) on an optimized crystal structure of K2TlZn.

```
K2TlZn
1.0
0.873 -5.764 1.384
2.346 -1.484 5.310
-3.420 -2.635 4.155
Tl K Zn
1 2 1
Cartesian
-0.101 -4.942 5.425
-0.151 -7.413 8.137
-0.050 -2.471 2.712
0.000 0.000 0.000
```

ρ: 3.798 g/cm³
D(E_F): 1.284 states/eV/atom
symmetry: Fm-3m



*x*
VASP calculation (PBE) on an optimized crystal structure of K2TlZn.

```
K2TlZn
1.0
11.391 -0.055 -0.033
10.690 3.936 -0.033
10.690 1.879 3.459
Zn K Tl
1 2 1
Cartesian
24.578 4.319 2.545
0.105 0.019 0.011
16.280 2.861 1.686
8.193 1.440 0.848
```

ρ: 3.645 g/cm³
D(E_F): 1.026 states/eV/atom
symmetry: R-3m



Which is most stable? The ranking, best first, is *w*, *x*.



*w*
VASP calculation (PBE) on an optimized crystal structure of K2TlZn.

```
K2TlZn
1.0
6.485 0.068 0.000
2.130 6.126 0.000
-4.308 -3.097 3.731
K Tl Zn
2 1 1
Cartesian
0.000 0.000 0.000
4.308 3.097 0.000
1.065 3.063 1.865
3.243 0.034 1.865
```

ρ: 3.912 g/cm³
D(E_F): 0.868 states/eV/atom
symmetry: I4/mmm



*x*
VASP calculation (PBE) on an optimized crystal structure of K2TlZn.

```
K2TlZn
1.0
-3.932 8.417 -2.939
2.432 -2.077 -9.204
-3.623 1.680 -6.494
K Zn Tl
4 2 2
Cartesian
-4.110 6.875 -15.192
-0.007 0.450 -7.840
-2.930 5.144 -4.514
-3.200 3.569 -9.726
-0.971 1.386 -10.884
-0.750 3.170 -6.071
-4.152 6.633 -7.752
0.000 0.000 0.000
```

ρ: 3.730 g/cm³
D(E_F): 0.936 states/eV/atom
symmetry: I-42d



*y*
VASP calculation (PBE) on an optimized crystal structure of K2TlZn.

```
K2TlZn
1.0
4.891 0.000 0.000
0.000 5.340 0.002
0.000 2.669 6.260
K Zn Tl
2 1 1
Cartesian
0.000 7.675 5.802
2.445 2.335 2.027
2.445 5.012 4.537
0.000 5.002 3.290
```

ρ: 3.534 g/cm³
D(E_F): 0.494 states/eV/atom
symmetry: Pm



*z*
VASP calculation (PBE) on an optimized crystal structure of K2TlZn.

```
K2TlZn
1.0
-3.494 7.662 -1.268
-1.509 -3.513 4.790
0.965 3.101 2.601
Tl Zn K
1 1 2
Cartesian
-0.272 -0.206 3.696
-2.501 2.075 1.761
-1.264 5.381 0.666
0.000 0.000 0.000
```

ρ: 3.828 g/cm³
D(E_F): 0.947 states/eV/atom
symmetry: C2/m



Which is most stable? The ranking, best first, is *y*, *z*, *w*, *x*.



*w*
VASP calculation (PBE) on an optimized crystal structure of K2TlZn.

```
K2TlZn
1.0
-2.953 4.213 -2.581
-5.669 0.491 0.869
-2.067 4.385 3.104
Zn K Tl
1 2 1
Cartesian
-8.017 6.817 1.043
0.000 0.000 0.000
-2.672 2.272 0.348
-5.344 4.544 0.695
```

ρ: 4.285 g/cm³
D(E_F): 1.070 states/eV/atom
symmetry: F-43m



*x*
VASP calculation (PBE) on an optimized crystal structure of K2TlZn.

```
K2TlZn
1.0
5.727 -0.002 -0.064
4.556 3.469 -0.064
1.064 0.359 7.902
K Zn Tl
2 1 1
Cartesian
5.712 1.926 3.829
10.244 3.454 -0.070
2.837 0.956 1.943
8.510 2.869 5.830
```

ρ: 3.673 g/cm³
D(E_F): 0.615 states/eV/atom
symmetry: C2/m



Which is most stable? The ranking, best first, is *w*, *x*.